Density functional theory data (PBE-GGA) for crystalline Y2IrO at its relaxed geometry.

Computed properties:
SG: I-42d (122)
Calculated total energy (Ry per atom): -0.608
E_form (uncorrected) (eV per atom): -1.582

Lattice parameters (Å, degrees): 6.041 6.041 6.041 114.71 114.71 99.44
Atoms (fractional coordinates):
Y (0.061, 0.625, 0.936)
Y (0.375, 0.311, 0.436)
Y (0.689, 0.125, 0.064)
Y (0.875, 0.939, 0.564)
Ir (0.250, 0.750, 0.500)
Ir (0.500, 0.500, 0.000)
O (0.000, 0.000, 0.000)
O (0.750, 0.250, 0.500)